A plane-wave DFT calculation with PBEsol was carried out for crystalline HfZrRu2 at its relaxed geometry.

The space group is Fm-3m (No. 225) and the conventional cell measures 6.428, 6.428 and 6.428 Å, with angles of 90.00, 90.00 and 90.00 degrees. Symmetry generates all atoms from Hf at (0.000, 0.000, 0.000), Zr at (0.000, 0.000, 0.500) and Ru at (0.250, 0.250, 0.250).

The calculated formation energy is -2.8 eV per formula unit. Its density of states at the Fermi level is 0.213 states/eV per atom.